! PBE NiSeCl4, optimized geometry; values from VASP
! - uncorrected formation energy (eV per atom) = 1.11
! - calculated density (g/cm3) = 3.367
&SYSTEM
  ibrav = 0, nat = 6, ntyp = 3
/
ATOMIC_SPECIES
Ni 58.69 Ni.upf
Se 78.96 Se.upf
Cl 35.45 Cl.upf
ATOMIC_POSITIONS crystal
Ni 0.000 0.000 0.000
Se 0.750 0.750 0.750
Cl 0.374 0.374 0.374
Cl 0.374 0.374 0.878
Cl 0.374 0.878 0.374
Cl 0.878 0.374 0.374
CELL_PARAMETERS angstrom
0.000 4.100 4.100
4.100 0.000 4.100
4.100 4.100 0.000



! PBE Ti6BeNi, optimized geometry; values from VASP
! - formation energy from the elements (eV/atom) = 0.221
! - calculated density (g/cm3) = 4.594
&SYSTEM
  ibrav = 0, nat = 8, ntyp = 3
/
ATOMIC_SPECIES
Ti 47.87 Ti.upf
Be 9.01 Be.upf
Ni 58.69 Ni.upf
ATOMIC_POSITIONS crystal
Ti 0.205 0.790 0.743
Ti 0.210 0.795 0.257
Ti 0.489 0.489 0.744
Ti 0.511 0.511 0.256
Ti 0.790 0.205 0.743
Ti 0.795 0.210 0.257
Be 0.000 0.000 0.500
Ni 0.000 0.000 0.000
CELL_PARAMETERS angstrom
2.757 -4.848 0.000
2.757 4.848 0.000
-2.733 0.000 4.799



! PBE Na2Cd12Ag5, optimized geometry; values from VASP
! - formation energy from the elements (eV/atom) = -0.046
! - calculated density (g/cm3) = 7.509
&SYSTEM
  ibrav = 0, nat = 19, ntyp = 3
/
ATOMIC_SPECIES
Na 22.99 Na.upf
Cd 112.41 Cd.upf
Ag 107.87 Ag.upf
ATOMIC_POSITIONS crystal
Na 0.167 0.167 0.167
Na 0.833 0.833 0.833
Cd 0.151 0.151 0.644
Cd 0.151 0.644 0.151
Cd 0.203 0.500 0.797
Cd 0.203 0.797 0.500
Cd 0.356 0.849 0.849
Cd 0.500 0.203 0.797
Cd 0.500 0.797 0.203
Cd 0.644 0.151 0.151
Cd 0.797 0.203 0.500
Cd 0.797 0.500 0.203
Cd 0.849 0.356 0.849
Cd 0.849 0.849 0.356
Ag 0.000 0.500 0.500
Ag 0.398 0.398 0.398
Ag 0.500 0.000 0.500
Ag 0.500 0.500 0.000
Ag 0.602 0.602 0.602
CELL_PARAMETERS angstrom
5.021 2.899 4.897
-5.021 2.899 4.897
0.000 -5.798 4.897